No. 1
Density functional theory data (PBE-GGA) for CdWSeBr2 after structural relaxation.

The final energy is -19.705 eV for the cell shown. As for the offset from the most stable computed form: 0 meV per atom. The formation energy without anion corrections is 0.1986 eV/atom. As for the density of states at the Fermi level: 0.474 states/eV/atom.

The structure belongs to space group P4/mmm (No. 123); the cell edges are 5.3257, 5.3257 and 4.8744 Å and the angles 90.00°, 90.00° and 90.00°. Symmetry generates all atoms from Cd at (0.0000, 0.0000, 0.0000), W at (0.5000, 0.5000, 0.5000), Se at (0.5000, 0.5000, 0.0000) and Br at (0.0000, 0.5000, 0.5000).

---

No. 2
Density functional theory data (PBE-GGA) for YCdSe2Br after structural relaxation.

The final energy is -19.585 eV for the cell shown. As for the offset from the most stable computed form: 0 meV per atom. The formation energy without anion corrections is -0.7128 eV/atom. As for the density of states at the Fermi level: 0.511 states/eV/atom.

The structure belongs to space group P4/mmm (No. 123); the cell edges are 5.5356, 5.5356 and 5.4664 Å and the angles 90.00°, 90.00° and 90.00°. Symmetry generates all atoms from Y at (0.0000, 0.0000, 0.0000), Cd at (0.5000, 0.5000, 0.5000), Se at (0.0000, 0.5000, 0.0000) and Br at (0.0000, 0.0000, 0.5000).

---

No. 3
Density functional theory data (PBE-GGA) for YCdSeBr2 after structural relaxation.

The final energy is -16.377 eV for the cell shown. As for the offset from the most stable computed form: 576 meV per atom. The formation energy without anion corrections is -0.4336 eV/atom. As for the density of states at the Fermi level: 0.665 states/eV/atom.

The structure belongs to space group P4/mmm (No. 123); the cell edges are 5.2995, 5.2995 and 5.4008 Å and the angles 90.00°, 90.00° and 90.00°. Symmetry generates all atoms from Y at (0.0000, 0.0000, 0.0000), Cd at (0.5000, 0.5000, 0.5000), Se at (0.5000, 0.5000, 0.0000) and Br at (0.0000, 0.5000, 0.5000).

---

> Among the records above, which one has the highest formation energy without anion corrections?

CdWSeBr2

---

> Which value of offset from the most stable computed form does entry 3 give?

576 meV per atom

---

> What is the offset from the most stable computed form in the third record?

576 meV per atom